# CaSm2Ho6

An optimized crystal structure of CaSm2Ho6 (GGA-PBE, the Alexandria database).

## Properties
* symmetry: No. 2
* size of the total moment: 0.0 μB/f.u.
* final energy: -4.276 eV/atom

POSCAR file:
```
CaSm2Ho6
1.0
7.975 -0.687 -4.614
-2.168 5.540 -3.238
-0.624 1.419 13.027
Ho Ca Sm
12 2 4
direct
0.648 0.406 0.384
0.010 0.261 0.613
0.990 0.739 0.387
0.548 0.304 0.057
0.672 0.926 0.610
0.452 0.696 0.943
0.352 0.594 0.616
0.878 0.622 0.053
0.215 0.966 0.061
0.328 0.074 0.390
0.785 0.034 0.939
0.122 0.378 0.947
0.102 0.853 0.724
0.898 0.147 0.276
0.434 0.190 0.722
0.566 0.810 0.278
0.771 0.515 0.725
0.229 0.485 0.275
```



# CaSm12Ho3

An optimized crystal structure of CaSm12Ho3 (GGA-PBE, the Alexandria database).

## Properties
* symmetry: No. 123
* size of the total moment: 0.0 μB/f.u.
* final energy: -4.489 eV/atom

POSCAR file:
```
CaSm12Ho3
1.0
5.120 0.000 0.000
0.000 5.120 0.000
0.000 0.000 20.468
Ho Sm Ca
3 12 1
direct
0.000 0.000 0.500
0.000 0.000 0.748
0.000 0.000 0.252
0.500 0.000 0.870
0.500 0.500 0.000
0.000 0.500 0.870
0.500 0.000 0.624
0.500 0.500 0.251
0.000 0.500 0.376
0.500 0.000 0.130
0.500 0.500 0.749
0.500 0.500 0.500
0.000 0.500 0.624
0.000 0.500 0.130
0.500 0.000 0.376
0.000 0.000 0.000
```



| no. | ΔE_f (eV/atom) |
| --- | --- |
| 1 | 0.047 |
| 2 | 0.034 |